## Y5Er2Tm3 (PBE)

Data for a geometry-optimized Y5Er2Tm3 structure.

Values from the calculation:
- Energy of formation: 0.193 eV/atom
- DOS at the Fermi energy: 1.681 states/eV/atom
- Total magnetic moment: 0.000 μB/f.u.
- Energy relative to the lowest polymorph listed for this composition: 0 meV/atom
- SG: No. 15

Cell: 9.3662 9.3692 11.0461 Å, 125.02 125.01 69.32°
Closest atoms and distances in Å follow each position.
Fractional coordinates of all 20 atoms:
Y  0.2806  0.5306  0.0611  3 Y 3.16-3.47, 4 Tm 3.29-3.41, 2 Er 3.41
Y  0.7194  0.4694  0.9389  3 Y 3.16-3.47, 4 Tm 3.29-3.41, 2 Er 3.41
Y  0.0193  0.7693  0.5386  3 Tm 3.16-3.31
Y  0.5198  0.2698  0.5397  1 Y 3.16, 2 Er 3.31
Y  0.9807  0.2307  0.4614  3 Tm 3.16-3.31
Y  0.4802  0.7302  0.4603  1 Y 3.16, 2 Er 3.31
Y  0.8875  0.6380  0.7800  3 Tm 3.47-3.52, 3 Y 3.47-3.67, 2 Er 3.50-3.51
Y  0.1125  0.3620  0.2200  3 Tm 3.47-3.52, 3 Y 3.47-3.67, 2 Er 3.50-3.51
Y  0.3925  0.1420  0.7800  3 Tm 3.47-3.52, 3 Y 3.47-3.67, 2 Er 3.50-3.51
Y  0.6075  0.8580  0.2200  3 Tm 3.47-3.52, 3 Y 3.47-3.67, 2 Er 3.50-3.51
Er  0.7818  0.0277  0.7638  3 Tm 3.14-3.37, 4 Y 3.31-3.51
Er  0.2182  0.9723  0.2362  3 Tm 3.14-3.37, 4 Y 3.31-3.51
Er  0.4820  0.7362  0.7638  3 Tm 3.14-3.37, 4 Y 3.31-3.51
Er  0.5180  0.2638  0.2362  3 Tm 3.14-3.37, 4 Y 3.31-3.51
Tm  0.2191  0.9691  0.9382  3 Y 3.16-3.47, 4 Er 3.28-3.37, 2 Tm 3.37
Tm  0.7809  0.0309  0.0618  3 Y 3.16-3.47, 4 Er 3.28-3.37, 2 Tm 3.37
Tm  0.7222  0.4680  0.2376  1 Er 3.14, 3 Y 3.29-3.41, 1 Tm 3.37
Tm  0.2778  0.5320  0.7624  1 Er 3.14, 3 Y 3.29-3.41, 1 Tm 3.37
Tm  0.0154  0.7696  0.2376  1 Er 3.14, 3 Y 3.29-3.41, 1 Tm 3.37
Tm  0.9846  0.2304  0.7624  1 Er 3.14, 3 Y 3.29-3.41, 1 Tm 3.37

## MgSi (PBE)

Data for a geometry-optimized MgSi structure.

Values from the calculation:
- DOS at the Fermi energy: 0.226 states/eV/atom
- Total magnetic moment: 0.000 μB/f.u.
- Uncorrected formation energy: 0.037 eV per atom
- SG: No. 5

Cell: 3.6116 5.4140 8.7952 Å, 90.00 114.15 90.00°
Closest atoms and distances in Å follow each position.
Fractional coordinates of all 8 atoms:
Mg  0.8032  0.5122  0.3022  6 Si 2.73-3.05
Mg  0.1968  0.5122  0.6978  6 Si 2.73-3.05
Mg  0.8032  0.0122  0.8022  6 Si 2.73-3.05
Mg  0.1968  0.0122  0.1978  6 Si 2.73-3.05
Si  0.0000  0.4483  0.0000  2 Si 2.41
Si  0.0000  0.9483  0.5000  2 Si 2.41
Si  0.5000  0.2443  0.5000  2 Si 2.41
Si  0.5000  0.7443  0.0000  2 Si 2.41

## ZnCu3H (PBE)

Data for a geometry-optimized ZnCu3H structure.

Values from the calculation:
- DOS at the Fermi energy: 0.294 states/eV/atom
- Total magnetic moment: 0.000 μB/f.u.
- Energy relative to the lowest polymorph listed for this composition: 0 meV/atom
- SG: No. 221

Cell: 3.7454 3.7454 3.7454 Å, 90.00 90.00 90.00°
Closest atoms and distances in Å follow each position.
Fractional coordinates of all 5 atoms:
H  0.0000  0.0000  0.0000  6 Cu 1.87
Zn  0.5000  0.5000  0.5000  12 Cu 2.65
Cu  0.0000  0.5000  0.0000  2 H 1.87
Cu  0.0000  0.0000  0.5000  2 H 1.87
Cu  0.5000  0.0000  0.0000  2 H 1.87

## SiBAuC (PBE)

Data for a geometry-optimized SiBAuC structure.

Values from the calculation:
- DOS at the Fermi energy: 0.166 states/eV/atom
- Total magnetic moment: 0.000 μB/f.u.
- Energy relative to the lowest polymorph listed for this composition: 2 meV/atom
- Uncorrected formation energy: 0.214 eV per atom
- SG: No. 8

Cell: 7.9292 2.7398 4.7803 Å, 90.00 102.09 90.00°
Closest atoms and distances in Å follow each position.
Fractional coordinates of all 8 atoms:
Si  0.1881  0.0000  0.2416  1 C 1.97
Si  0.1881  0.5000  0.7416  1 C 1.97
B  0.4543  0.0000  0.0015  3 C 1.59
B  0.4543  0.5000  0.5015  3 C 1.59
Au  0.8347  0.0000  0.1246  6 Au 2.74-2.75, 1 Si 2.74, 1 B 2.95
Au  0.8347  0.5000  0.6246  6 Au 2.74-2.75, 1 Si 2.74, 1 B 2.95
C  0.4417  0.0000  0.3293  3 B 1.59
C  0.4417  0.5000  0.8293  3 B 1.59

## GeRh2WCl (PBE)

Data for a geometry-optimized GeRh2WCl structure.

Values from the calculation:
- DOS at the Fermi energy: 0.684 states/eV/atom
- Total magnetic moment: 0.000 μB/f.u.
- Uncorrected formation energy: 1.045 eV per atom
- SG: No. 123

Cell: 4.7290 5.0715 4.7290 Å, 90.00 90.00 90.00°
Closest atoms and distances in Å follow each position.
Fractional coordinates of all 5 atoms:
Ge  0.0000  0.5000  0.0000  2 W 2.54
Rh  0.0000  0.0000  0.5000  2 W 2.36
Rh  0.5000  0.0000  0.0000  2 W 2.36
W  0.0000  0.0000  0.0000  4 Rh 2.36, 2 Ge 2.54
Cl  0.5000  0.5000  0.5000  4 Ge 3.34, 8 Rh 3.47

## VCrSb (PBE)

Data for a geometry-optimized VCrSb structure.

Values from the calculation:
- DOS at the Fermi energy: 0.323 states/eV/atom
- Total magnetic moment: 0.000 μB/f.u.
- Uncorrected formation energy: -0.005 eV per atom
- SG: No. 164

Cell: 4.2487 4.2487 7.6740 Å, 90.04 90.00 120.00°
Closest atoms and distances in Å follow each position.
Fractional coordinates of all 6 atoms:
V  0.3333  0.6665  0.4226  3 Cr 2.49, 3 V 2.73, 1 Sb 2.78
V  0.6667  0.3335  0.5774  3 Cr 2.49, 3 V 2.73, 1 Sb 2.78
Cr  0.0001  0.0002  0.6352  1 Cr 2.08
Cr  0.9999  0.9998  0.3648  1 Cr 2.08
Sb  0.6664  0.3329  0.2148  3 Cr 2.71, 4 V 2.78-2.93
Sb  0.3336  0.6671  0.7852  3 Cr 2.71, 4 V 2.78-2.93

## RbCdSn2Rh (PBE)

Data for a geometry-optimized RbCdSn2Rh structure.

Values from the calculation:
- Energy of formation: -0.129 eV/atom
- DOS at the Fermi energy: 0.823 states/eV/atom
- Total magnetic moment: 0.000 μB/f.u.
- SG: No. 123

Cell: 5.2047 5.2047 5.3805 Å, 90.00 90.00 90.00°
Closest atoms and distances in Å follow each position.
Fractional coordinates of all 5 atoms:
Rh  0.0000  0.0000  0.0000  4 Sn 2.60, 2 Cd 2.69
Sn  0.0000  0.5000  0.0000  2 Rh 2.60
Sn  0.5000  0.0000  0.0000  2 Rh 2.60
Rb  0.5000  0.5000  0.5000  4 Cd 3.68, 8 Sn 3.74
Cd  0.0000  0.0000  0.5000  2 Rh 2.69

## Tb7NdSc2 (PBE)

Data for a geometry-optimized Tb7NdSc2 structure.

Values from the calculation:
- Energy of formation: 0.644 eV/atom
- DOS at the Fermi energy: 1.398 states/eV/atom
- Total magnetic moment: 0.000 μB/f.u.
- SG: No. 65

Cell: 5.5970 8.7594 8.7594 Å, 119.42 90.00 90.00°
Closest atoms and distances in Å follow each position.
Fractional coordinates of all 10 atoms:
Tb  0.0000  0.7556  0.2444  2 Sc 2.91
Tb  0.0000  0.2444  0.7556  2 Sc 2.91
Tb  0.5000  0.0598  0.3035  2 Sc 3.07-3.09, 2 Tb 3.21-3.36
Tb  0.5000  0.9402  0.6965  2 Sc 3.07-3.09, 2 Tb 3.21-3.36
Tb  0.5000  0.3035  0.0598  2 Sc 3.07-3.09, 2 Tb 3.21-3.36
Tb  0.5000  0.6965  0.9402  2 Sc 3.07-3.09, 2 Tb 3.21-3.36
Tb  0.5000  0.5000  0.5000  2 Sc 3.08, 4 Tb 3.36
Nd  0.0000  0.0000  0.0000  10 Tb 3.70-3.72
Sc  0.5000  0.7036  0.2964  7 Tb 2.91-3.09
Sc  0.5000  0.2964  0.7036  7 Tb 2.91-3.09